Record 1
This record from OQMD describes a relaxed Y2Pt3 crystal. The functional is PBE.

Results
As for the crystal system: tetragonal. The energy of formation is -4.2 eV/f.u.

a = 7.860 Å, b = 7.860 Å, c = 3.489 Å
α = 90.00°, β = 90.00°, γ = 90.00°
Element x y z (fractional)
1 Y 0.170 0.330 0.000
2 Y 0.330 0.830 0.000
3 Y 0.670 0.170 0.000
4 Y 0.830 0.670 0.000
5 Pt 0.000 0.000 0.000
6 Pt 0.128 0.628 0.500
7 Pt 0.372 0.128 0.500
8 Pt 0.500 0.500 0.000
9 Pt 0.628 0.872 0.500
10 Pt 0.872 0.372 0.500

Record 2
This record from OQMD describes a relaxed Y2Pt crystal. The functional is PBE.

Results
As for the crystal system: orthorhombic. The energy of formation is -2.8 eV/f.u.

a = 7.156 Å, b = 4.791 Å, c = 8.816 Å
α = 90.00°, β = 90.00°, γ = 90.00°
Element x y z (fractional)
1 Y 0.010 0.250 0.167
2 Y 0.144 0.250 0.581
3 Y 0.356 0.750 0.081
4 Y 0.490 0.750 0.667
5 Y 0.510 0.250 0.333
6 Y 0.644 0.250 0.919
7 Y 0.856 0.750 0.419
8 Y 0.990 0.750 0.833
9 Pt 0.241 0.250 0.906
10 Pt 0.259 0.750 0.406
11 Pt 0.741 0.250 0.594
12 Pt 0.759 0.750 0.094

Record 3
This record from OQMD describes a relaxed Y5Pt3 crystal. The functional is PBE.

Results
As for the crystal system: hexagonal. The energy of formation is -7.9 eV/f.u.

a = 8.495 Å, b = 8.495 Å, c = 6.110 Å
α = 90.00°, β = 90.00°, γ = 120.00°
Element x y z (fractional)
1 Y 0.000 0.246 0.250
2 Y 0.000 0.754 0.750
3 Y 0.246 0.000 0.250
4 Y 0.246 0.246 0.750
5 Y 0.333 0.667 0.000
6 Y 0.333 0.667 0.500
7 Y 0.667 0.333 0.000
8 Y 0.667 0.333 0.500
9 Y 0.754 0.000 0.750
10 Y 0.754 0.754 0.250
11 Pt 0.000 0.395 0.750
12 Pt 0.000 0.605 0.250
13 Pt 0.395 0.000 0.750
14 Pt 0.395 0.395 0.250
15 Pt 0.605 0.000 0.250
16 Pt 0.605 0.605 0.750

| no. | final energy (eV per atom) | magnetic moment (μB per atom) |
| --- | --- | --- |
| 1 | -7.0504 | 0.00 |
| 2 | -7.2630 | 0.00 |
| 3 | -7.2955 | 0.00 |